## KUMn4S8 (PBE)

Data for a geometry-optimized KUMn4S8 structure.

```
data_KUMn4S8
_chemical_formula_sum 'K1 U1 Mn4 S8'
_symmetry_space_group_name_H-M 'P 1'
_symmetry_Int_Tables_number 1
_cell_length_a 7.5647
_cell_length_b 7.5647
_cell_length_c 7.7351
_cell_angle_alpha 60.73
_cell_angle_beta 60.73
_cell_angle_gamma 60.00
loop_
_symmetry_equiv_pos_as_xyz
'x,y,z'
loop_
_atom_site_label
_atom_site_fract_x
_atom_site_fract_y
_atom_site_fract_z
K1 0.3638 0.3638 0.9087
U1 0.0005 0.0005 0.9984
Mn1 0.6327 0.6327 0.1020
Mn2 0.0011 0.4933 0.5046
Mn3 0.4933 0.0011 0.5046
Mn4 0.0011 0.0011 0.5046
S1 0.2374 0.8069 0.7184
S2 0.8069 0.2374 0.7184
S3 0.2374 0.2374 0.7184
S4 0.2218 0.2218 0.3345
S5 0.7523 0.2356 0.2599
S6 0.2356 0.7523 0.2599
S7 0.7523 0.7523 0.2599
S8 0.7640 0.7640 0.7079
```

Computed properties:
Volume   22.599 Å³/atom
E_form (uncorrected)   -953 kJ/mol of formula units


## RbNbP2Cl (PBE)

Data for a geometry-optimized RbNbP2Cl structure.

```
data_RbNbP2Cl
_chemical_formula_sum 'Rb1 Nb1 P2 Cl1'
_symmetry_space_group_name_H-M 'P 1'
_symmetry_Int_Tables_number 1
_cell_length_a 4.8457
_cell_length_b 4.8457
_cell_length_c 5.4008
_cell_angle_alpha 90.00
_cell_angle_beta 90.00
_cell_angle_gamma 90.00
loop_
_symmetry_equiv_pos_as_xyz
'x,y,z'
loop_
_atom_site_label
_atom_site_fract_x
_atom_site_fract_y
_atom_site_fract_z
P1 0.0000 0.5000 0.0000
P2 0.5000 0.0000 0.0000
Nb1 0.0000 0.0000 0.0000
Rb1 0.5000 0.5000 0.5000
Cl1 0.0000 0.0000 0.5000
```

Computed properties:
Distance to the lowest polymorph of the same formula   0.0 meV per atom
Volume   25.363 Å³/atom
E_form (uncorrected)   -244 kJ/mol of formula units


## Al2In2Si (PBE)

Data for a geometry-optimized Al2In2Si structure.

```
data_Al2In2Si
_chemical_formula_sum 'Al4 In4 Si2'
_symmetry_space_group_name_H-M 'P 1'
_symmetry_Int_Tables_number 1
_cell_length_a 8.4824
_cell_length_b 8.4824
_cell_length_c 3.0227
_cell_angle_alpha 90.00
_cell_angle_beta 90.00
_cell_angle_gamma 90.00
loop_
_symmetry_equiv_pos_as_xyz
'x,y,z'
loop_
_atom_site_label
_atom_site_fract_x
_atom_site_fract_y
_atom_site_fract_z
Si1 0.0000 0.0000 0.0000
Si2 0.5000 0.5000 0.0000
Al1 0.1156 0.6156 0.5000
Al2 0.6156 0.8844 0.5000
Al3 0.8844 0.3844 0.5000
Al4 0.3844 0.1156 0.5000
In1 0.3169 0.8169 0.0000
In2 0.8169 0.6831 0.0000
In3 0.6831 0.1831 0.0000
In4 0.1831 0.3169 0.0000
```

Computed properties:
Distance to the lowest polymorph of the same formula   192.6 meV per atom
Volume   21.748 Å³/atom
E_form (uncorrected)   206 kJ/mol of formula units


## MgHg2Pb2 (PBE)

Data for a geometry-optimized MgHg2Pb2 structure.

```
data_MgHg2Pb2
_chemical_formula_sum 'Mg2 Hg4 Pb4'
_symmetry_space_group_name_H-M 'P 1'
_symmetry_Int_Tables_number 1
_cell_length_a 7.9526
_cell_length_b 7.9526
_cell_length_c 4.5760
_cell_angle_alpha 90.00
_cell_angle_beta 90.00
_cell_angle_gamma 90.00
loop_
_symmetry_equiv_pos_as_xyz
'x,y,z'
loop_
_atom_site_label
_atom_site_fract_x
_atom_site_fract_y
_atom_site_fract_z
Pb1 0.3564 0.8564 0.0000
Pb2 0.8564 0.6436 0.0000
Pb3 0.6436 0.1436 0.0000
Pb4 0.1436 0.3564 0.0000
Mg1 0.0000 0.0000 0.0000
Mg2 0.5000 0.5000 0.0000
Hg1 0.1641 0.6641 0.5000
Hg2 0.6641 0.8359 0.5000
Hg3 0.8359 0.3359 0.5000
Hg4 0.3359 0.1641 0.5000
```

Computed properties:
Distance to the lowest polymorph of the same formula   181.7 meV per atom
ΔE_f   0.5 eV per formula unit
Volume   28.941 Å³/atom


Number 1: M_tot 19.0 Bohr magnetons per cell. Number 2: M_tot 0.3 Bohr magnetons per cell. Number 3: M_tot 0.0 Bohr magnetons per cell. Number 4: M_tot 0.0 Bohr magnetons per cell.